This record from Alexandria describes crystalline MgTeAs2 at its relaxed geometry. The functional is PBE.

Cell: 4.048 4.885 5.202 Å, 74.36 90.00 90.00°
Atoms (fractional coordinates):
Mg  0.500  0.250  0.250
As  0.000  0.958  0.054
As  0.000  0.542  0.446
Te  0.500  0.750  0.750

Results
magnetization	0.000	μB/cell
raw formation energy	-0.16	eV/atom
energy above the most stable polymorph in this dataset	89	meV/atom
uncorrected energy	-14.67	eV per cell